Entry 1:
VASP calculation (PBE) on an optimized crystal structure of Dy3Ho3Tl.

Results
As for the relative energy among the computed polymorphs: 95 meV/atom. The value obtained for the energy of formation from the pure elements is 0.2 eV per formula unit. As for the space group: Pnma, No. 62.

Cell and atoms, written as CIF:
```
data_Dy3Ho3Tl
_space_group_name_H-M_alt 'P 1'
_space_group_IT_number 1
_cell_length_a 5.1771
_cell_length_b 13.1533
_cell_length_c 12.7909
_cell_angle_alpha 90.00
_cell_angle_beta 90.00
_cell_angle_gamma 90.00
loop_
_space_group_symop_operation_xyz
'x,y,z'
loop_
_atom_site_label
_atom_site_fract_x
_atom_site_fract_y
_atom_site_fract_z
Dy1 0.7500 0.9857 0.9322
Dy2 0.2500 0.5143 0.4322
Dy3 0.2500 0.0143 0.0678
Dy4 0.7500 0.4857 0.5678
Dy5 0.7500 0.9454 0.4301
Dy6 0.2500 0.5546 0.9301
Dy7 0.2500 0.0546 0.5699
Dy8 0.7500 0.4454 0.0699
Dy9 0.7500 0.7253 0.0522
Dy10 0.2500 0.7747 0.5522
Dy11 0.2500 0.2747 0.9478
Dy12 0.7500 0.2253 0.4478
Ho1 0.7500 0.6738 0.7708
Ho2 0.2500 0.8262 0.2708
Ho3 0.2500 0.3262 0.2292
Ho4 0.7500 0.1738 0.7292
Ho5 0.7500 0.1846 0.1339
Ho6 0.2500 0.3154 0.6339
Ho7 0.2500 0.8154 0.8661
Ho8 0.7500 0.6846 0.3661
Ho9 0.7500 0.9129 0.6899
Ho10 0.2500 0.5871 0.1899
Ho11 0.2500 0.0871 0.3101
Ho12 0.7500 0.4129 0.8101
Tl1 0.7500 0.9430 0.1863
Tl2 0.2500 0.5570 0.6863
Tl3 0.2500 0.0570 0.8137
Tl4 0.7500 0.4430 0.3137
```

---

Entry 2:
VASP calculation (PBE) on an optimized crystal structure of SrCaEuSbO6.

Results
As for the relative energy among the computed polymorphs: 93 meV/atom. For the formation energy (no corrections), the calculation gives -2.31 eV per atom. As for the space group: F-43m, No. 216.

Cell and atoms, written as CIF:
```
data_SrCaEuSbO6
_space_group_name_H-M_alt 'P 1'
_space_group_IT_number 1
_cell_length_a 5.9183
_cell_length_b 5.9183
_cell_length_c 5.9183
_cell_angle_alpha 60.00
_cell_angle_beta 60.00
_cell_angle_gamma 60.00
loop_
_space_group_symop_operation_xyz
'x,y,z'
loop_
_atom_site_label
_atom_site_fract_x
_atom_site_fract_y
_atom_site_fract_z
Sr1 0.7500 0.7500 0.7500
Ca1 0.0000 0.0000 0.0000
Eu1 0.2500 0.2500 0.2500
Sb1 0.5000 0.5000 0.5000
O1 0.2638 0.7362 0.2638
O2 0.7362 0.2638 0.7362
O3 0.2638 0.7362 0.7362
O4 0.7362 0.2638 0.2638
O5 0.2638 0.2638 0.7362
O6 0.7362 0.7362 0.2638
```

---

Entry 3:
VASP calculation (PBE) on an optimized crystal structure of Ti3AlPd6.

Results
As for the relative energy among the computed polymorphs: 148 meV/atom. The value obtained for the energy of formation from the pure elements is -4.9 eV per formula unit. As for the space group: Cmc2_1, No. 36.

Cell and atoms, written as CIF:
```
data_Ti3AlPd6
_space_group_name_H-M_alt 'P 1'
_space_group_IT_number 1
_cell_length_a 4.6714
_cell_length_b 8.9137
_cell_length_c 8.9137
_cell_angle_alpha 121.09
_cell_angle_beta 90.00
_cell_angle_gamma 90.00
loop_
_space_group_symop_operation_xyz
'x,y,z'
loop_
_atom_site_label
_atom_site_fract_x
_atom_site_fract_y
_atom_site_fract_z
Ti1 0.4660 0.9323 0.7363
Ti2 0.9660 0.7363 0.9323
Ti3 0.0736 0.4020 0.5980
Ti4 0.5736 0.5980 0.4020
Ti5 0.9660 0.0677 0.2637
Ti6 0.4660 0.2637 0.0677
Al1 0.1233 0.2163 0.7837
Al2 0.6233 0.7837 0.2163
Pd1 0.0436 0.7104 0.6163
Pd2 0.5436 0.6163 0.7104
Pd3 0.3285 0.5434 0.9523
Pd4 0.8285 0.9523 0.5434
Pd5 0.4579 0.9470 0.0530
Pd6 0.6544 0.2964 0.7036
Pd7 0.1544 0.7036 0.2964
Pd8 0.9579 0.0530 0.9470
Pd9 0.3285 0.0477 0.4566
Pd10 0.8285 0.4566 0.0477
Pd11 0.0436 0.3837 0.2896
Pd12 0.5436 0.2896 0.3837
```

---

Entry 4:
VASP calculation (PBE) on an optimized crystal structure of NdHfZnGa.

Results
The value obtained for the energy of formation from the pure elements is -1.1 eV per formula unit. As for the space group: F-43m, No. 216.

Cell and atoms, written as CIF:
```
data_NdHfZnGa
_space_group_name_H-M_alt 'P 1'
_space_group_IT_number 1
_cell_length_a 4.9479
_cell_length_b 4.9479
_cell_length_c 4.9479
_cell_angle_alpha 60.00
_cell_angle_beta 60.00
_cell_angle_gamma 60.00
loop_
_space_group_symop_operation_xyz
'x,y,z'
loop_
_atom_site_label
_atom_site_fract_x
_atom_site_fract_y
_atom_site_fract_z
Nd1 0.0000 0.0000 0.0000
Zn1 0.7500 0.7500 0.7500
Hf1 0.5000 0.5000 0.5000
Ga1 0.2500 0.2500 0.2500
```

---

Entry 5:
VASP calculation (PBE) on an optimized crystal structure of La2HoEr5Th.

Results
The value obtained for the energy of formation from the pure elements is 1.5 eV per formula unit. As for the space group: Cmc2_1, No. 36.

Cell and atoms, written as CIF:
```
data_La2HoEr5Th
_space_group_name_H-M_alt 'P 1'
_space_group_IT_number 1
_cell_length_a 5.6060
_cell_length_b 10.2192
_cell_length_c 10.9190
_cell_angle_alpha 90.00
_cell_angle_beta 90.00
_cell_angle_gamma 105.92
loop_
_space_group_symop_operation_xyz
'x,y,z'
loop_
_atom_site_label
_atom_site_fract_x
_atom_site_fract_y
_atom_site_fract_z
La1 0.8842 0.7685 0.8153
La2 0.1151 0.2301 0.7345
La3 0.1158 0.2315 0.3153
La4 0.8849 0.7699 0.2345
Ho1 0.7981 0.5963 0.5085
Ho2 0.2019 0.4037 0.0085
Er1 0.3912 0.7823 0.0197
Er2 0.7183 0.4367 0.8095
Er3 0.4815 0.9629 0.7370
Er4 0.2992 0.5984 0.7091
Er5 0.9857 0.9713 0.5276
Er6 0.6088 0.2177 0.5197
Er7 0.2817 0.5633 0.3095
Er8 0.5185 0.0371 0.2370
Er9 0.7008 0.4016 0.2091
Er10 0.0143 0.0287 0.0276
Th1 0.5823 0.1647 0.9628
Th2 0.4177 0.8353 0.4628
```

---

Entry 6:
VASP calculation (PBE) on an optimized crystal structure of Na3SrCa7.

Results
The value obtained for the energy of formation from the pure elements is 1.3 eV per formula unit. As for the space group: P3m1, No. 156.

Cell and atoms, written as CIF:
```
data_Na3SrCa7
_space_group_name_H-M_alt 'P 1'
_space_group_IT_number 1
_cell_length_a 9.3658
_cell_length_b 7.8337
_cell_length_c 7.8337
_cell_angle_alpha 120.00
_cell_angle_beta 90.00
_cell_angle_gamma 90.00
loop_
_space_group_symop_operation_xyz
'x,y,z'
loop_
_atom_site_label
_atom_site_fract_x
_atom_site_fract_y
_atom_site_fract_z
Na1 0.7863 0.5043 0.4957
Na2 0.7863 0.5043 0.0085
Na3 0.7863 0.9915 0.4957
Sr1 0.4491 0.3333 0.6667
Ca1 0.1087 0.1654 0.8346
Ca2 0.1087 0.1654 0.3308
Ca3 0.1251 0.6667 0.3333
Ca4 0.4520 0.8339 0.1661
Ca5 0.4520 0.3323 0.1661
Ca6 0.4520 0.8339 0.6677
Ca7 0.1087 0.6692 0.8346
```

---

What are the energy values for these records? In order: -4.2411; -7.0972; -6.3530; -5.0203; -4.7970; -1.6714 eV/atom.
What are the DOS at the Fermi energy values for these records? In order: 11.4; 9.9; 8.6; 2.3; 13.0; 8.2 states/eV/f.u..